[1]
A geometry-optimized RbTiSb2Te structure, computed with GGA-PBE.

Cell: 5.3826 5.3826 5.5723 Å, 90.00 90.00 90.00°
Positions (direct):
Rb 0.0000 0.0000 0.0000
Ti 0.5000 0.5000 0.5000
Sb 0.0000 0.5000 0.5000
Sb 0.5000 0.0000 0.5000
Te 0.5000 0.5000 0.0000

## Properties
- Uncorrected formation energy: -0.29 eV per atom
- VASP energy: -21.71 eV for the cell shown
- Calculated density: 5.2 g/cm³

[2]
A geometry-optimized ErZnAu structure, computed with GGA-PBE.

Cell: 4.6409 4.6409 4.6409 Å, 60.00 60.00 60.00°
Positions (direct):
Er 0.0000 0.0000 0.0000
Zn 0.5000 0.5000 0.5000
Au 0.2500 0.2500 0.2500

## Properties
- E_form: -0.495 eV/atom
- VASP energy: -10.60 eV for the cell shown
- Calculated density: 10.1 g/cm³

[3]
A geometry-optimized Zn8Si structure, computed with GGA-PBE.

Cell: 6.2182 6.2182 6.2182 Å, 95.77 95.77 143.02°
Positions (direct):
Zn 0.0000 0.3335 0.3335
Zn 0.0000 0.6665 0.6665
Zn 0.3329 0.3329 0.6658
Zn 0.3329 0.6671 0.0000
Zn 0.3335 0.0000 0.3335
Zn 0.6665 0.0000 0.6665
Zn 0.6671 0.3329 0.0000
Zn 0.6671 0.6671 0.3342
Si 0.0000 0.0000 0.0000

## Properties
- Uncorrected formation energy: 0.09 eV per atom
- VASP energy: -14.80 eV for the cell shown
- Calculated density: 6.7 g/cm³